Below is CeNb2Mo after structural relaxation, with properties calculated at the PBE level.

Lattice parameters (Å, degrees): 3.231 3.231 7.670 90.00 90.00 90.00
Sites, in units of the cell vectors:
Ce: 0.000 0.000 0.000
Nb: 0.500 0.500 0.296
Nb: 0.500 0.500 0.704
Mo: 0.000 0.000 0.500

Values from the calculation:
* uncorrected energy: -0.6688 Ry per atom
* total moment: 0.000 μB/f.u.
* crystal system: tetragonal